A relaxed SrZn3Rh crystal. Source: Alexandria via LeMat-Bulk, functional PBEsol.

## Properties
Crystal system: cubic
Volume, Å³/cell: 108
Uncorrected energy, eV/atom: -3.186
Distance to the lowest polymorph of the same formula, kJ per mole of atoms: 6.15
ΔE_f, eV/atom: -0.241

Unit cell a=4.757 b=4.757 c=4.757 alpha=90.00 beta=90.00 gamma=90.00
Fractional coordinates of all 5 atoms:
Sr  0.000  0.000  0.000
Zn  0.000  0.500  0.500
Zn  0.500  0.000  0.500
Zn  0.500  0.500  0.000
Rh  0.500  0.500  0.500